DFT (PBE) results for crystalline CdIn3Sn2 at its relaxed geometry.

extended XYZ file:
```
6
Lattice="3.865 0.000 0.000 0.000 3.865 0.000 0.000 0.000 10.699" Properties=species:S:1:pos:R:3 pbc="T T T"
Cd 0.000 0.000 0.000
In 1.933 1.933 1.716
In 1.933 1.933 5.350
In 1.933 1.933 8.983
Sn 0.000 0.000 3.489
Sn 0.000 0.000 7.210
```

DFT formation energy: 0.05 eV/atom
SG: P4/mmm, No. 123
electronic total energy: -2.81 eV per atom
N(E_F): 1.551 states/eV/f.u.
ρ: 7211 kg/m3

DFT (PBE) results for crystalline CdIn8Sn6 at its relaxed geometry.

extended XYZ file:
```
15
Lattice="4.098 2.366 7.598 -4.098 2.366 7.598 0.000 -4.732 7.598" Properties=species:S:1:pos:R:3 pbc="T T T"
Cd 0.000 0.000 0.000
In -1.394 -2.338 10.503
In -2.722 0.039 12.291
In 0.000 0.000 7.608
In -1.327 2.376 10.503
In 1.327 -2.376 12.291
In 0.000 0.000 15.186
In 2.722 -0.039 10.503
In 1.394 2.338 12.291
Sn -2.757 0.038 9.102
Sn -1.411 -2.368 13.692
Sn 1.345 -2.406 9.102
Sn -1.345 2.406 13.692
Sn 1.411 2.368 9.102
Sn 2.757 -0.038 13.692
```

DFT formation energy: 0.06 eV/atom
SG: R-3, No. 148
electronic total energy: -3.06 eV per atom
N(E_F): 5.946 states/eV/f.u.
ρ: 6549 kg/m3

DFT (PBE) results for crystalline Cd4In7Sn at its relaxed geometry.

extended XYZ file:
```
12
Lattice="3.334 0.000 0.000 -1.667 2.887 0.000 0.000 0.000 32.060" Properties=species:S:1:pos:R:3 pbc="T T T"
Cd 0.000 1.925 5.384
Cd 0.000 1.925 13.402
Cd 1.667 0.962 18.658
Cd 1.667 0.962 26.676
In 0.000 0.000 8.008
In 0.000 0.000 16.030
In 0.000 0.000 24.052
In 0.000 1.925 21.316
In 0.000 1.925 29.289
In 1.667 0.962 2.771
In 1.667 0.962 10.745
Sn 0.000 0.000 0.000
```

DFT formation energy: 0.03 eV/atom
SG: P-3m1, No. 164
electronic total energy: -2.20 eV per atom
N(E_F): 3.481 states/eV/f.u.
ρ: 7383 kg/m3